Material: Dy2SiB2Ru5
Method: DFT, GGA-PBE
State: relaxed Values from VASP.

Magnetic moment: 0.0 μB per formula unit
VASP energy: -7.979 eV per atom
E_form (uncorrected): -543.2 meV per atom
Density of states at the Fermi level: 8.7 states/eV/f.u.

```
&SYSTEM
  ibrav = 0, nat = 20, ntyp = 4
/
ATOMIC_SPECIES
Dy 162.50 Dy.upf
Si 28.09 Si.upf
B 10.81 B.upf
Ru 101.07 Ru.upf
CELL_PARAMETERS angstrom
9.507 0.000 0.000
0.000 9.507 0.000
0.000 0.000 3.082
ATOMIC_POSITIONS crystal
Dy 0.176 0.324 0.000
Dy 0.324 0.824 0.000
Dy 0.676 0.176 0.000
Dy 0.824 0.676 0.000
Si 0.000 0.000 0.000
Si 0.500 0.500 0.000
B 0.123 0.623 0.000
B 0.377 0.123 0.000
B 0.623 0.877 0.000
B 0.877 0.377 0.000
Ru 0.000 0.500 0.500
Ru 0.067 0.788 0.500
Ru 0.212 0.067 0.500
Ru 0.288 0.567 0.500
Ru 0.433 0.288 0.500
Ru 0.500 0.000 0.500
Ru 0.567 0.712 0.500
Ru 0.712 0.433 0.500
Ru 0.788 0.933 0.500
Ru 0.933 0.212 0.500
```